VASP calculation (GGA-PBE) on a relaxed structure of LiZrBe2Zn.

Calculated values
As for the formation energy: 121 kJ per mole of atoms. Its spin magnetization is 0.37 μB per formula unit. The value obtained for the density is 2.4 g/cm3. For the energy, the calculation gives -2.585 eV/atom. As for the crystal system: tetragonal.

abc: 4.836 4.836 5.301
angles: 90.00 90.00 90.00
Sites, in units of the cell vectors:
Li 0.000 0.000 0.000
Zr 0.500 0.500 0.500
Be 0.000 0.500 0.500
Be 0.500 0.000 0.500
Zn 0.500 0.500 0.000

VASP calculation (GGA-PBE) on a relaxed structure of LiZrBeZn.

Calculated values
As for the formation energy: -1 kJ per mole of atoms. Its spin magnetization is 0.00 μB per formula unit. The value obtained for the density is 4.7 g/cm3. For the energy, the calculation gives -3.872 eV/atom. As for the crystal system: cubic.

abc: 6.248 6.248 6.248
angles: 90.00 90.00 90.00
Sites, in units of the cell vectors:
Li 0.000 0.000 0.000
Li 0.000 0.500 0.500
Li 0.500 0.000 0.500
Li 0.500 0.500 0.000
Zr 0.000 0.000 0.500
Zr 0.000 0.500 0.000
Zr 0.500 0.000 0.000
Zr 0.500 0.500 0.500
Be 0.250 0.250 0.750
Be 0.250 0.750 0.250
Be 0.750 0.250 0.250
Be 0.750 0.750 0.750
Zn 0.250 0.250 0.250
Zn 0.250 0.750 0.750
Zn 0.750 0.250 0.750
Zn 0.750 0.750 0.250

VASP calculation (GGA-PBE) on a relaxed structure of Li2ZrBe.

Calculated values
As for the formation energy: 38 kJ per mole of atoms. Its spin magnetization is 0.00 μB per formula unit. The value obtained for the density is 2.7 g/cm3. For the energy, the calculation gives -3.634 eV/atom. As for the crystal system: trigonal.

abc: 2.822 2.822 30.151
angles: 90.00 90.00 120.00
Sites, in units of the cell vectors:
Li 0.000 0.000 0.240
Li 0.000 0.000 0.760
Li 0.333 0.667 0.426
Li 0.333 0.667 0.907
Li 0.667 0.333 0.093
Li 0.667 0.333 0.574
Zr 0.000 0.000 0.000
Zr 0.333 0.667 0.667
Zr 0.667 0.333 0.333
Be 0.000 0.000 0.500
Be 0.333 0.667 0.167
Be 0.667 0.333 0.833

VASP calculation (GGA-PBE) on a relaxed structure of LiZrBe2.

Calculated values
As for the formation energy: 54 kJ per mole of atoms. Its spin magnetization is 0.00 μB per formula unit. The value obtained for the density is 3.3 g/cm3. For the energy, the calculation gives -3.914 eV/atom. As for the crystal system: tetragonal.

abc: 6.718 6.718 5.127
angles: 90.00 90.00 90.00
Sites, in units of the cell vectors:
Li 0.000 0.000 0.000
Li 0.000 0.500 0.250
Li 0.500 0.000 0.750
Li 0.500 0.500 0.500
Zr 0.000 0.000 0.500
Zr 0.000 0.500 0.750
Zr 0.500 0.000 0.250
Zr 0.500 0.500 0.000
Be 0.217 0.750 0.125
Be 0.250 0.217 0.875
Be 0.250 0.283 0.375
Be 0.283 0.750 0.625
Be 0.717 0.250 0.625
Be 0.750 0.717 0.375
Be 0.750 0.783 0.875
Be 0.783 0.250 0.125

VASP calculation (GGA-PBE) on a relaxed structure of Li2ZrBe.

Calculated values
As for the formation energy: 32 kJ per mole of atoms. Its spin magnetization is 0.00 μB per formula unit. The value obtained for the density is 2.9 g/cm3. For the energy, the calculation gives -3.694 eV/atom. As for the crystal system: monoclinic.

abc: 8.367 2.728 5.844
angles: 90.00 97.42 90.00
Sites, in units of the cell vectors:
Li 0.000 0.000 0.000
Li 0.248 0.000 0.806
Li 0.500 0.500 0.000
Li 0.748 0.500 0.806
Zr 0.269 0.500 0.349
Zr 0.769 0.000 0.349
Be 0.009 0.500 0.588
Be 0.509 0.000 0.588

VASP calculation (GGA-PBE) on a relaxed structure of Li2ZrBe.

Calculated values
As for the formation energy: 36 kJ per mole of atoms. Its spin magnetization is 0.00 μB per formula unit. The value obtained for the density is 2.9 g/cm3. For the energy, the calculation gives -3.651 eV/atom. As for the crystal system: tetragonal.

abc: 2.829 2.829 8.076
angles: 90.00 90.00 90.00
Sites, in units of the cell vectors:
Li 0.000 0.000 0.194
Li 0.000 0.000 0.806
Zr 0.500 0.500 0.500
Be 0.500 0.500 0.000

VASP calculation (GGA-PBE) on a relaxed structure of Li2ZrBe.

Calculated values
As for the formation energy: 49 kJ per mole of atoms. Its spin magnetization is 0.00 μB per formula unit. The value obtained for the density is 2.7 g/cm3. For the energy, the calculation gives -3.522 eV/atom. As for the crystal system: orthorhombic.

abc: 5.538 9.520 2.639
angles: 90.00 90.00 90.00
Sites, in units of the cell vectors:
Li 0.250 0.250 0.000
Li 0.250 0.750 0.000
Li 0.750 0.250 0.000
Li 0.750 0.750 0.000
Zr 0.000 0.000 0.500
Zr 0.500 0.500 0.500
Be 0.000 0.500 0.500
Be 0.500 0.000 0.500

VASP calculation (GGA-PBE) on a relaxed structure of LiZr2Be16.

Calculated values
As for the formation energy: -18 kJ per mole of atoms. Its spin magnetization is 0.00 μB per formula unit. The value obtained for the density is 3.0 g/cm3. For the energy, the calculation gives -4.329 eV/atom. As for the crystal system: trigonal.

abc: 5.719 5.719 5.719
angles: 83.36 83.36 83.36
Sites, in units of the cell vectors:
Li 0.000 0.000 0.000
Zr 0.436 0.436 0.436
Zr 0.754 0.754 0.754
Be 0.095 0.387 0.804
Be 0.095 0.804 0.387
Be 0.098 0.098 0.589
Be 0.098 0.589 0.098
Be 0.200 0.200 0.200
Be 0.257 0.750 0.750
Be 0.387 0.095 0.804
Be 0.387 0.804 0.095
Be 0.437 0.437 0.936
Be 0.437 0.936 0.437
Be 0.589 0.098 0.098
Be 0.750 0.257 0.750
Be 0.750 0.750 0.257
Be 0.804 0.095 0.387
Be 0.804 0.387 0.095
Be 0.936 0.437 0.437

VASP calculation (GGA-PBE) on a relaxed structure of LiZrBe2.

Calculated values
As for the formation energy: 11 kJ per mole of atoms. Its spin magnetization is 0.00 μB per formula unit. The value obtained for the density is 3.8 g/cm3. For the energy, the calculation gives -4.367 eV/atom. As for the crystal system: tetragonal.

abc: 4.178 4.178 5.885
angles: 90.00 90.00 90.00
Sites, in units of the cell vectors:
Li 0.000 0.000 0.000
Li 0.500 0.500 0.500
Zr 0.000 0.500 0.250
Zr 0.500 0.000 0.750
Be 0.000 0.000 0.500
Be 0.000 0.500 0.750
Be 0.500 0.000 0.250
Be 0.500 0.500 0.000

VASP calculation (GGA-PBE) on a relaxed structure of LiZrBe17.

Calculated values
As for the formation energy: -10 kJ per mole of atoms. Its spin magnetization is 0.00 μB per formula unit. The value obtained for the density is 2.4 g/cm3. For the energy, the calculation gives -3.988 eV/atom. As for the crystal system: trigonal.

abc: 5.645 5.645 5.645
angles: 82.82 82.82 82.82
Sites, in units of the cell vectors:
Li 0.000 0.000 0.000
Zr 0.684 0.684 0.684
Be 0.002 0.002 0.495
Be 0.002 0.495 0.002
Be 0.054 0.341 0.637
Be 0.054 0.637 0.341
Be 0.183 0.687 0.687
Be 0.246 0.246 0.246
Be 0.341 0.054 0.637
Be 0.341 0.637 0.054
Be 0.354 0.354 0.839
Be 0.354 0.839 0.354
Be 0.442 0.442 0.442
Be 0.495 0.002 0.002
Be 0.637 0.054 0.341
Be 0.637 0.341 0.054
Be 0.687 0.183 0.687
Be 0.687 0.687 0.183
Be 0.839 0.354 0.354

VASP calculation (GGA-PBE) on a relaxed structure of LiZrBe2.

Calculated values
As for the formation energy: 16 kJ per mole of atoms. Its spin magnetization is 0.00 μB per formula unit. The value obtained for the density is 3.5 g/cm3. For the energy, the calculation gives -4.313 eV/atom. As for the crystal system: tetragonal.

abc: 2.995 2.995 6.183
angles: 90.00 90.00 90.00
Sites, in units of the cell vectors:
Li 0.000 0.000 0.000
Zr 0.000 0.000 0.500
Be 0.500 0.500 0.214
Be 0.500 0.500 0.786

VASP calculation (GGA-PBE) on a relaxed structure of LiZrBe4.

Calculated values
As for the formation energy: 4 kJ per mole of atoms. Its spin magnetization is 0.00 μB per formula unit. The value obtained for the density is 3.2 g/cm3. For the energy, the calculation gives -4.189 eV/atom. As for the crystal system: cubic.

abc: 4.636 4.636 4.636
angles: 60.00 60.00 60.00
Sites, in units of the cell vectors:
Li 0.000 0.000 0.000
Zr 0.750 0.750 0.750
Be 0.377 0.377 0.377
Be 0.377 0.377 0.869
Be 0.377 0.869 0.377
Be 0.869 0.377 0.377

VASP calculation (GGA-PBE) on a relaxed structure of LiZrBe2.

Calculated values
As for the formation energy: 17 kJ per mole of atoms. Its spin magnetization is 0.00 μB per formula unit. The value obtained for the density is 3.4 g/cm3. For the energy, the calculation gives -4.300 eV/atom. As for the crystal system: tetragonal.

abc: 2.795 2.795 7.331
angles: 90.00 90.00 90.00
Sites, in units of the cell vectors:
Li 0.000 0.000 0.000
Zr 0.500 0.500 0.363
Be 0.000 0.000 0.626
Be 0.500 0.500 0.759

VASP calculation (GGA-PBE) on a relaxed structure of Li4ZrBe.

Calculated values
As for the formation energy: 36 kJ per mole of atoms. Its spin magnetization is 0.00 μB per formula unit. The value obtained for the density is 2.3 g/cm3. For the energy, the calculation gives -2.947 eV/atom. As for the crystal system: cubic.

abc: 5.081 5.081 5.081
angles: 60.00 60.00 60.00
Sites, in units of the cell vectors:
Li 0.377 0.377 0.377
Li 0.377 0.377 0.870
Li 0.377 0.870 0.377
Li 0.870 0.377 0.377
Zr 0.000 0.000 0.000
Be 0.750 0.750 0.750

VASP calculation (GGA-PBE) on a relaxed structure of Li2ZrBe.

Calculated values
As for the formation energy: 24 kJ per mole of atoms. Its spin magnetization is 0.00 μB per formula unit. The value obtained for the density is 3.1 g/cm3. For the energy, the calculation gives -3.778 eV/atom. As for the crystal system: tetragonal.

abc: 4.418 4.418 6.235
angles: 90.00 90.00 90.00
Sites, in units of the cell vectors:
Li 0.000 0.000 0.000
Li 0.000 0.500 0.250
Li 0.500 0.000 0.750
Li 0.500 0.500 0.500
Zr 0.000 0.500 0.750
Zr 0.500 0.000 0.250
Be 0.000 0.000 0.500
Be 0.500 0.500 0.000

VASP calculation (GGA-PBE) on a relaxed structure of Li2ZrBe.

Calculated values
As for the formation energy: 26 kJ per mole of atoms. Its spin magnetization is 0.00 μB per formula unit. The value obtained for the density is 2.9 g/cm3. For the energy, the calculation gives -3.751 eV/atom. As for the crystal system: monoclinic.

abc: 2.643 4.768 5.151
angles: 90.00 93.60 90.00
Sites, in units of the cell vectors:
Li 0.185 0.000 0.277
Li 0.815 0.000 0.723
Zr 0.500 0.500 0.000
Be 0.000 0.500 0.500

VASP calculation (GGA-PBE) on a relaxed structure of LiZrBe2.

Calculated values
As for the formation energy: 43 kJ per mole of atoms. Its spin magnetization is 0.00 μB per formula unit. The value obtained for the density is 3.2 g/cm3. For the energy, the calculation gives -4.029 eV/atom. As for the crystal system: trigonal.

abc: 2.755 2.755 27.337
angles: 90.00 90.00 120.00
Sites, in units of the cell vectors:
Li 0.000 0.000 0.000
Li 0.333 0.667 0.667
Li 0.667 0.333 0.333
Zr 0.000 0.000 0.500
Zr 0.333 0.667 0.167
Zr 0.667 0.333 0.833
Be 0.000 0.000 0.254
Be 0.000 0.000 0.746
Be 0.333 0.667 0.413
Be 0.333 0.667 0.920
Be 0.667 0.333 0.080
Be 0.667 0.333 0.587

VASP calculation (GGA-PBE) on a relaxed structure of Li2ZrBe.

Calculated values
As for the formation energy: 15 kJ per mole of atoms. Its spin magnetization is 0.00 μB per formula unit. The value obtained for the density is 2.8 g/cm3. For the energy, the calculation gives -3.867 eV/atom. As for the crystal system: tetragonal.

abc: 3.095 3.095 7.026
angles: 90.00 90.00 90.00
Sites, in units of the cell vectors:
Li 0.000 0.000 0.000
Li 0.500 0.500 0.252
Zr 0.000 0.000 0.578
Be 0.500 0.500 0.793

VASP calculation (GGA-PBE) on a relaxed structure of Li2ZrBe.

Calculated values
As for the formation energy: 35 kJ per mole of atoms. Its spin magnetization is 0.00 μB per formula unit. The value obtained for the density is 2.7 g/cm3. For the energy, the calculation gives -3.667 eV/atom. As for the crystal system: monoclinic.

abc: 5.540 10.588 2.647
angles: 90.00 116.93 90.00
Sites, in units of the cell vectors:
Li 0.250 0.250 0.000
Li 0.250 0.750 0.000
Li 0.750 0.250 0.000
Li 0.750 0.750 0.000
Zr 0.000 0.000 0.500
Zr 0.500 0.500 0.500
Be 0.000 0.500 0.500
Be 0.500 0.000 0.500

VASP calculation (GGA-PBE) on a relaxed structure of Li2ZrBe.

Calculated values
As for the formation energy: 23 kJ per mole of atoms. Its spin magnetization is 0.00 μB per formula unit. The value obtained for the density is 2.8 g/cm3. For the energy, the calculation gives -3.789 eV/atom. As for the crystal system: monoclinic.

abc: 11.456 2.764 4.671
angles: 90.00 113.84 90.00
Sites, in units of the cell vectors:
Li 0.208 0.000 0.208
Li 0.292 0.500 0.792
Li 0.708 0.500 0.208
Li 0.792 0.000 0.792
Zr 0.000 0.000 0.500
Zr 0.500 0.500 0.500
Be 0.000 0.500 0.000
Be 0.500 0.000 0.000